[1]
# VNi6Rh2

VNi6Rh2 after structural relaxation (GGA-PBE, Alexandria).

The magnetization is 2.90 Bohr magnetons per cell. For the total energy, the calculation gives -6.60 eV/atom.

Cell: 3.5803 4.4803 7.6668 Å, 73.86 76.50 66.45°
Last column: magnetic moment on the atom in μB.
Sites, in units of the cell vectors:
Rh  0.3368  0.6054  0.7210  0.30
Ni  0.0029  0.1593  0.8350  0.52
Ni  0.3388  0.2726  0.0499  0.53
Ni  0.6612  0.7274  0.9501  0.53
Ni  0.3327  0.9473  0.3873  0.36
Ni  0.6673  0.0527  0.6127  0.36
V  0.0000  0.5000  0.5000  -0.31
Ni  0.9971  0.8407  0.1650  0.52
Rh  0.6632  0.3946  0.2790  0.30

---

[2]
# VBiOs2Rh

VBiOs2Rh after structural relaxation (GGA-PBE, Alexandria).

The magnetization is 0.00 Bohr magnetons per cell. For the total energy, the calculation gives -7.37 eV/atom.

Cell: 4.5680 4.6223 4.5680 Å, 90.00 90.00 90.00°
Sites, in units of the cell vectors:
Os  0.5000  0.0000  0.0000
Bi  0.5000  0.5000  0.5000
Rh  0.0000  0.5000  0.0000
Os  0.0000  0.0000  0.5000
V  0.0000  0.0000  0.0000

---

[3]
# MgAl2Cd

MgAl2Cd after structural relaxation (GGA-PBE, Alexandria).

The magnetization is 0.00 Bohr magnetons per cell. For the total energy, the calculation gives -2.46 eV/atom.

Cell: 10.0483 10.0483 10.0483 Å, 17.33 17.33 17.33°
Sites, in units of the cell vectors:
Mg  0.7500  0.7500  0.7500
Cd  0.2500  0.2500  0.2500
Al  0.0014  0.0014  0.0014
Al  0.4986  0.4986  0.4986